No. 1
! HgSbAs2Br | the Alexandria database | PBE | relaxed; values from VASP
&SYSTEM
  ibrav = 0, nat = 5, ntyp = 4
/
ATOMIC_SPECIES
Sb 121.76 Sb.upf
As 74.92 As.upf
Br 79.90 Br.upf
Hg 200.59 Hg.upf
CELL_PARAMETERS angstrom
-2.691 -0.473 -4.690
2.335 -4.825 -0.853
-4.282 -2.552 2.715
ATOMIC_POSITIONS angstrom
Sb 0.000 0.000 0.000
As -1.345 -0.237 -2.345
Br -2.141 -1.276 1.357
As 1.167 -2.412 -0.426
Hg -2.319 -3.925 -1.414
! * space-group type: No. 123
! * offset from the most stable computed form: 0.000 eV per atom
! * raw formation energy: 562 meV/atom

No. 2
! Mg2AgAu2 | the Alexandria database | PBE | relaxed; values from VASP
&SYSTEM
  ibrav = 0, nat = 10, ntyp = 3
/
ATOMIC_SPECIES
Mg 24.30 Mg.upf
Au 196.97 Au.upf
Ag 107.87 Ag.upf
CELL_PARAMETERS angstrom
7.658 0.000 0.000
0.000 7.658 0.000
0.000 0.000 3.220
ATOMIC_POSITIONS angstrom
Mg 6.414 2.585 1.610
Au 2.789 6.618 0.000
Ag 0.000 0.000 0.000
Ag 3.829 3.829 0.000
Au 4.870 1.041 0.000
Au 6.618 4.870 0.000
Mg 2.585 1.244 1.610
Mg 1.244 5.073 1.610
Mg 5.073 6.414 1.610
Au 1.041 2.789 0.000
! * space-group type: No. 127
! * offset from the most stable computed form: 0.000 eV per atom
! * DFT formation energy: -0.427 eV/atom